Material: ScTlHg
Method: DFT, meta-GGA SCAN
State: PBEsol geometry

Cell lengths 4.7550, 4.7550, 3.4130 Å; angles 90.00, 90.00, 120.00 degrees
Space group P3m1 (No. 156)
Symmetry-distinct sites (fractional):
Sc (0.0000, 0.0000, 0.0000)
Tl (0.6667, 0.3333, 0.3925)
Hg (0.3333, 0.6667, 0.6417)

Properties
calculated formation energy	-0.31	eV per atom
magnetic moment	0.000	μB per cell